Here is a geometry-optimized Li2Ti3MnO8 structure from Alexandria. Energies are from PBE+U.

The density of states at the Fermi level comes out at 0.0 states/eV/f.u. The electronic total energy comes out at -7.988 eV/atom.

It has space group R3m (No. 160, hexagonal axes), with a = 6.0121 Å, b = 6.0121 Å, c = 14.8022 Å, α = 90.00°, β = 90.00° and γ = 120.00°. Symmetry generates all atoms from Li at (0.0000, 0.0000, 0.0000), Li at (0.0000, 0.0000, 0.3828), Ti at (0.0052, 0.5026, 0.8830), Mn at (0.0000, 0.0000, 0.7634), O at (0.0000, 0.0000, 0.1421), O at (0.0000, 0.0000, 0.6221), O at (0.0339, 0.5169, 0.1438) and O at (0.1807, 0.3613, 0.9509).